No. 1
TlZnP2 | SCAN | single point on PBEsol structure

Cell lengths 3.2439, 3.2439, 26.1834 Å; angles 90.00, 90.00, 120.00 degrees
Space group R3m (No. 160, hexagonal axes)
Inequivalent atoms, fractional coordinates:
Tl: 0.0000 0.0000 0.0000
Zn: 0.0000 0.0000 0.7600
P: 0.0000 0.0000 0.2193
P: 0.0000 0.0000 0.5038

Output
- Calculated formation energy: 0.181 eV per atom
- Density of states at the Fermi level: 2.76 states/eV/cell

---

No. 2
YBe2Pb | SCAN | single point on PBEsol structure

Cell lengths 3.819, 3.880, 10.511 Å; angles 90.00, 90.00, 90.00 degrees
Space group Imm2 (No. 44)
Inequivalent atoms, fractional coordinates:
Y: 0.000 0.000 0.000
Be: 0.000 0.000 0.396
Be: 0.000 0.500 0.805
Pb: 0.000 0.500 0.236

Output
- Calculated formation energy: 0.029 eV per atom
- Density of states at the Fermi level: 4.06 states/eV/cell

---

No. 3
Sc3Se | SCAN | single point on PBEsol structure

Cell lengths 6.586, 8.612, 5.850 Å; angles 90.00, 90.00, 90.00 degrees
Space group Pnma (No. 62)
Inequivalent atoms, fractional coordinates:
Sc: 0.022 0.250 0.153
Sc: 0.193 0.044 0.630
Se: 0.124 0.750 0.413

Output
- Density of states at the Fermi level: 17.02 states/eV/cell
- Total DFT energy (no corrections): -16.5699 eV per atom

---

No. 4
KLaSb2 | SCAN | single point on PBEsol structure

Cell lengths 5.181, 5.181, 4.441 Å; angles 90.00, 90.00, 90.00 degrees
Space group P4/mmm (No. 123)
Inequivalent atoms, fractional coordinates:
K: 0.000 0.000 0.000
La: 0.500 0.500 0.000
Sb: 0.000 0.500 0.500

Output
- Density of states at the Fermi level: 1.49 states/eV/cell
- Total DFT energy (no corrections): -32.2172 eV per atom

---

No. 5
MgGaP2 | SCAN | single point on PBEsol structure

Cell lengths 5.839, 5.839, 10.354 Å; angles 90.00, 90.00, 90.00 degrees
Space group I-42d (No. 122)
Inequivalent atoms, fractional coordinates:
Mg: 0.000 0.000 0.000
Ga: 0.000 0.000 0.500
P: 0.222 0.250 0.625

Output
- Calculated formation energy: -0.271 eV per atom
- Density of states at the Fermi level: 12.21 states/eV/cell

---

No. 6
InFePb2 | SCAN | single point on PBEsol structure

Cell lengths 3.088, 4.466, 13.773 Å; angles 90.00, 90.00, 90.00 degrees
Space group Immm (No. 71)
Inequivalent atoms, fractional coordinates:
In: 0.000 0.000 0.000
Fe: 0.000 0.000 0.500
Pb: 0.000 0.500 0.173

Output
- Calculated formation energy: 0.246 eV per atom
- Density of states at the Fermi level: 4.73 states/eV/cell

---

No. 7
La2InW | SCAN | single point on PBEsol structure

Cell lengths 3.4241, 3.4241, 30.9036 Å; angles 90.00, 90.00, 120.00 degrees
Space group R-3m (No. 166, hexagonal axes)
Inequivalent atoms, fractional coordinates:
La: 0.0000 0.0000 0.2387
In: 0.0000 0.0000 0.0000
W: 0.0000 0.0000 0.5000

Output
- Calculated formation energy: 0.489 eV per atom
- Density of states at the Fermi level: 13.59 states/eV/cell

---

No. 8
Li2AgPb | SCAN | single point on PBEsol structure

Cell lengths 4.704, 4.704, 6.580 Å; angles 90.00, 90.00, 90.00 degrees
Space group I-4m2 (No. 119)
Inequivalent atoms, fractional coordinates:
Li: 0.000 0.000 0.000
Li: 0.000 0.500 0.250
Ag: 0.000 0.000 0.500
Pb: 0.000 0.500 0.750

Output
- Calculated formation energy: -0.356 eV per atom
- Density of states at the Fermi level: 2.35 states/eV/cell

---

No. 9
Sr2MgAg | SCAN | single point on PBEsol structure

Cell lengths 5.568, 5.568, 4.059 Å; angles 90.00, 90.00, 90.00 degrees
Space group P4/mmm (No. 123)
Inequivalent atoms, fractional coordinates:
Sr: 0.000 0.500 0.000
Mg: 0.000 0.000 0.500
Ag: 0.500 0.500 0.500

Output
- Calculated formation energy: -0.108 eV per atom
- Density of states at the Fermi level: 3.38 states/eV/cell

---

No. 10
Li2CaIn | SCAN | single point on PBEsol structure

Cell lengths 4.256, 5.016, 8.720 Å; angles 90.00, 90.00, 90.00 degrees
Space group Imm2 (No. 44)
Inequivalent atoms, fractional coordinates:
Li: 0.000 0.000 0.000
Li: 0.000 0.500 0.278
Ca: 0.000 0.500 0.770
In: 0.000 0.000 0.540

Output
- Calculated formation energy: -0.286 eV per atom
- Density of states at the Fermi level: 3.15 states/eV/cell

---

No. 11
Mn2F7 | SCAN | single point on PBEsol structure

Cell lengths 5.035, 10.129, 9.735 Å; angles 90.00, 100.81, 90.00 degrees
Space group C2/c (No. 15)
Inequivalent atoms, fractional coordinates:
Mn: 0.219 0.033 0.424
F: 0.000 0.015 0.750
F: 0.021 0.436 0.397
F: 0.079 0.112 0.012
F: 0.183 0.324 0.647

Output
- Density of states at the Fermi level: 1.50 states/eV/cell
- Total DFT energy (no corrections): -9.4187 eV per atom

---

No. 12
Li4Ni7O11 | SCAN | single point on PBEsol structure

Cell lengths 5.001, 8.627, 9.465 Å; angles 113.76, 95.43, 95.52 degrees
Space group P-1 (No. 2)
Inequivalent atoms, fractional coordinates:
Li: 0.046 0.191 0.094
Li: 0.134 0.545 0.269
Li: 0.232 0.912 0.456
Li: 0.419 0.636 0.820
Ni: 0.044 0.679 0.596
Ni: 0.132 0.046 0.771
Ni: 0.225 0.408 0.956
Ni: 0.313 0.274 0.636
Ni: 0.319 0.771 0.139
Ni: 0.411 0.135 0.316
Ni: 0.500 0.000 0.000
Ni: 0.500 0.500 0.500
O: 0.013 0.243 0.747
O: 0.099 0.617 0.951
O: 0.107 0.117 0.417
O: 0.201 0.476 0.604
O: 0.212 0.971 0.124
O: 0.277 0.355 0.308
O: 0.284 0.855 0.789
O: 0.345 0.201 0.969
O: 0.384 0.703 0.494
O: 0.460 0.085 0.669
O: 0.464 0.580 0.153

Output
- Density of states at the Fermi level: 10.09 states/eV/cell
- Total DFT energy (no corrections): -10.2413 eV per atom

---

No. 13
Zn7Ag | SCAN | single point on PBEsol structure

Cell lengths 7.714, 7.714, 7.714 Å; angles 90.00, 90.00, 90.00 degrees
Space group Fm-3m (No. 225)
Inequivalent atoms, fractional coordinates:
Zn: 0.000 0.000 0.000
Zn: 0.000 0.250 0.250
Ag: 0.000 0.000 0.500

Output
- Calculated formation energy: 0.029 eV per atom
- Density of states at the Fermi level: 8.10 states/eV/cell

---

No. 14
CuSiAu | SCAN | single point on PBEsol structure

Cell lengths 5.716, 5.716, 5.716 Å; angles 90.00, 90.00, 90.00 degrees
Space group F-43m (No. 216)
Inequivalent atoms, fractional coordinates:
Cu: 0.000 0.000 0.000
Si: 0.250 0.250 0.750
Au: 0.000 0.000 0.500

Output
- Density of states at the Fermi level: 5.32 states/eV/cell
- Total DFT energy (no corrections): -31.5300 eV per atom

---

No. 15
LiErS2 | SCAN | single point on PBEsol structure

Cell lengths 3.8248, 3.8248, 18.1655 Å; angles 90.00, 90.00, 120.00 degrees
Space group R-3m (No. 166, hexagonal axes)
Inequivalent atoms, fractional coordinates:
Li: 0.0000 0.0000 0.0000
Er: 0.0000 0.0000 0.5000
S: 0.0000 0.0000 0.2504

Output
- Density of states at the Fermi level: 0.00 states/eV/cell
- Total DFT energy (no corrections): -20.1025 eV per atom

---

No. 16
Pt4Au5 | SCAN | single point on PBEsol structure

Cell lengths 8.545, 8.545, 3.951 Å; angles 90.00, 90.00, 90.00 degrees
Space group I4/mmm (No. 139)
Inequivalent atoms, fractional coordinates:
Pt: 0.000 0.339 0.000
Au: 0.000 0.000 0.000
Au: 0.168 0.168 0.500

Output
- Calculated formation energy: 0.080 eV per atom
- Density of states at the Fermi level: 13.00 states/eV/cell

---

No. 17
Li3ICl | SCAN | single point on PBEsol structure

Cell lengths 4.842, 4.842, 4.842 Å; angles 90.00, 90.00, 90.00 degrees
Space group Pm-3m (No. 221)
Inequivalent atoms, fractional coordinates:
Li: 0.000 0.000 0.500
I: 0.500 0.500 0.500
Cl: 0.000 0.000 0.000

Output
- Density of states at the Fermi level: 1.77 states/eV/cell
- Total DFT energy (no corrections): -11.3436 eV per atom

---

No. 18
HfMgZn2Cd | SCAN | single point on PBEsol structure

Cell lengths 4.733, 4.733, 4.881 Å; angles 90.00, 90.00, 90.00 degrees
Space group P4/mmm (No. 123)
Inequivalent atoms, fractional coordinates:
Hf: 0.000 0.000 0.000
Mg: 0.500 0.500 0.000
Zn: 0.000 0.500 0.500
Cd: 0.500 0.500 0.500

Output
- Calculated formation energy: 0.787 eV per atom
- Density of states at the Fermi level: 2.91 states/eV/cell

---

No. 19
Zr5Ti7O24 | SCAN | single point on PBEsol structure

Cell lengths 5.286, 14.406, 11.287 Å; angles 90.00, 117.61, 90.00 degrees
Space group Pc (No. 7)
Inequivalent atoms, fractional coordinates:
Zr: 0.000 0.078 0.000
Zr: 0.154 0.257 0.215
Zr: 0.436 0.255 0.965
Zr: 0.656 0.250 0.711
Zr: 0.930 0.252 0.461
Ti: 0.065 0.418 0.675
Ti: 0.147 0.084 0.747
Ti: 0.449 0.420 0.426
Ti: 0.514 0.085 0.490
Ti: 0.563 0.422 0.176
Ti: 0.648 0.086 0.238
Ti: 0.944 0.419 0.925
O: 0.092 0.336 0.819
O: 0.156 0.334 0.372
O: 0.208 0.337 0.068
O: 0.242 0.008 0.906
O: 0.243 0.330 0.621
O: 0.277 0.005 0.167
O: 0.335 0.489 0.261
O: 0.338 0.489 0.010
O: 0.346 0.170 0.555
O: 0.375 0.167 0.104
O: 0.441 0.168 0.810
O: 0.490 0.171 0.353
O: 0.591 0.339 0.319
O: 0.656 0.331 0.869
O: 0.707 0.336 0.568
O: 0.733 0.024 0.400
O: 0.744 0.338 0.120
O: 0.759 0.001 0.644
O: 0.834 0.486 0.759
O: 0.836 0.181 0.060
O: 0.842 0.488 0.510
O: 0.879 0.164 0.603
O: 0.933 0.174 0.306
O: 0.990 0.164 0.849

Output
- Density of states at the Fermi level: 0.00 states/eV/cell
- Total DFT energy (no corrections): -15.0418 eV per atom

---

No. 20
Ta8Tc | SCAN | single point on PBEsol structure

Cell lengths 9.783, 9.783, 3.228 Å; angles 90.00, 90.00, 90.00 degrees
Space group I4/mmm (No. 139)
Inequivalent atoms, fractional coordinates:
Ta: 0.000 0.334 0.000
Ta: 0.162 0.162 0.500
Tc: 0.000 0.000 0.000

Output
- Calculated formation energy: -0.137 eV per atom
- Density of states at the Fermi level: 18.88 states/eV/cell